Material: Be2PtF
Method: DFT, GGA-PBE
State: optimized geometry

Output
symmetry	Fm-3m (225)
formation energy from raw total energies	-344	meV per atom
crystal system	cubic
excess energy over the best structure of this formula in the dataset	1113	meV per atom

abc: 3.9886 3.9886 3.9886
angles: 60.00 60.00 60.00
Sites, in units of the cell vectors:
Be 0.2500 0.2500 0.2500
Be 0.7500 0.7500 0.7500
Pt 0.0000 0.0000 0.0000
F 0.5000 0.5000 0.5000